The following is a DFT calculation (GGA-PBE) of a geometry-optimized Sc4AlZn2Cu structure.

Computed properties:
D(E_F): 0.66 states/eV per atom
formation energy: -0.370 eV per atom

Structure (POSCAR):
```
Sc4AlZn2Cu
1.0
-4.571 -0.581 1.047
-1.987 -4.271 -0.381
-0.316 -3.141 7.541
Al Cu Sc Zn
1 1 4 2
Cartesian
0.000 0.000 0.000
-3.437 -3.996 4.103
-4.117 -3.442 1.441
-5.840 -5.437 3.478
-1.035 -2.555 4.729
-2.757 -4.550 6.765
-5.139 -6.009 6.223
-1.736 -1.984 1.984
```

---

The following is a DFT calculation (GGA-PBE) of a geometry-optimized K2Tl3ReS6 structure.

Computed properties:
total DFT energy (no corrections): -0.3218 Ry/atom
D(E_F): 0.29 states/eV per atom

Structure (POSCAR):
```
K2Tl3ReS6
1.0
-3.195 -3.057 -6.247
5.254 -3.679 4.177
-5.487 -0.045 4.444
S Tl K Re
6 3 2 1
Cartesian
-1.597 -5.436 3.111
0.523 -5.409 -0.746
-3.687 -5.282 0.532
-3.951 -1.373 3.120
0.259 -1.500 1.841
-1.831 -1.346 -0.737
-1.714 -3.391 1.187
-4.692 -3.172 -2.488
1.264 -3.610 4.862
2.499 -3.476 0.778
-0.440 -3.260 -2.848
0.000 0.000 0.000
```

---

The following is a DFT calculation (GGA-PBE) of a geometry-optimized Ho2HPbO structure.

Computed properties:
total DFT energy (no corrections): -0.4307 Ry/atom
D(E_F): 0.37 states/eV per atom

Structure (POSCAR):
```
Ho2HPbO
1.0
-0.603 3.686 0.324
-3.678 -0.633 0.354
2.847 -1.984 6.187
H O Ho Pb
1 1 2 1
Cartesian
0.051 1.614 3.425
-1.486 -0.546 3.440
0.485 -0.315 4.485
-1.920 1.383 2.379
0.000 0.000 0.000
```

---

The following is a DFT calculation (GGA-PBE) of a geometry-optimized SmZnPd structure.

Computed properties:
D(E_F): 0.55 states/eV per atom
formation energy: -0.566 eV per atom

Structure (POSCAR):
```
SmZnPd
1.0
-0.836 -0.467 -3.432
3.372 -0.913 -0.698
-2.333 -3.924 2.952
Pd Zn Sm
1 1 1
Cartesian
0.976 -1.955 -1.821
-0.555 -2.405 0.463
0.305 -4.863 -1.262
```

---

The following is a DFT calculation (GGA-PBE) of a geometry-optimized BaMgTl2 structure.

Computed properties:
D(E_F): 0.41 states/eV per atom
formation energy: -0.166 eV per atom

Structure (POSCAR):
```
BaMgTl2
1.0
-3.951 -3.013 2.704
3.618 -4.329 0.412
1.478 5.101 1.950
Mg Tl Ba
1 2 1
Cartesian
-1.320 -0.792 3.106
2.464 -1.450 1.960
0.000 0.000 0.000
-0.167 -3.671 1.558
```

---

The following is a DFT calculation (GGA-PBE) of a geometry-optimized Pu3P2F3 structure.

Computed properties:
total DFT energy (no corrections): -0.7036 Ry/atom
D(E_F): 3.35 states/eV per atom

Structure (POSCAR):
```
Pu3P2F3
1.0
5.510 0.000 0.000
0.000 7.830 0.000
0.000 -3.915 6.781
F Pu P
6 6 4
Cartesian
4.132 -0.825 1.428
4.132 3.090 5.353
1.377 6.181 0.000
1.377 0.825 1.428
4.132 1.649 0.000
1.377 -3.090 5.353
1.377 -1.359 2.354
4.132 5.112 0.000
4.132 1.359 2.354
1.377 2.718 0.000
1.377 2.556 4.427
4.132 -2.556 4.427
2.755 3.915 2.260
0.000 3.915 2.260
0.000 0.000 4.521
2.755 0.000 4.521
```

---

The following is a DFT calculation (GGA-PBE) of a geometry-optimized Sc6GaPb2 structure.

Computed properties:
D(E_F): 0.95 states/eV per atom
formation energy: -0.406 eV per atom

Structure (POSCAR):
```
Sc6GaPb2
1.0
-1.326 3.793 0.426
-7.059 -2.688 1.968
5.374 1.260 5.518
Pb Sc Ga
2 6 1
Cartesian
1.230 -0.056 4.335
-2.914 -1.372 3.151
-4.922 0.274 1.400
-1.331 1.330 3.182
-1.274 -1.080 5.660
-1.721 -0.656 0.480
-4.479 -0.032 5.510
-5.748 -2.381 3.313
-0.663 1.896 0.213
```

---

The following is a DFT calculation (GGA-PBE) of a geometry-optimized Th3B2TeRh9 structure.

Computed properties:
total DFT energy (no corrections): -0.5699 Ry/atom
D(E_F): 0.45 states/eV per atom

Structure (POSCAR):
```
Th3B2TeRh9
1.0
-1.531 0.740 -5.648
4.877 -3.026 1.362
-4.770 -7.552 0.303
Te Rh Th B
1 9 3 2
Cartesian
-2.385 -3.776 0.152
2.515 -4.472 0.289
1.673 -1.143 -2.143
2.439 -1.513 0.681
-3.165 -5.740 -1.418
-3.939 -5.366 -4.273
-0.765 0.370 -2.824
-1.474 -6.895 -3.584
1.741 -4.098 -2.566
0.050 -2.943 -0.399
0.000 0.000 0.000
-0.581 -7.031 -0.764
-0.842 -2.807 -3.220
2.051 -2.863 -0.931
-3.475 -6.975 -3.052
```

---

The following is a DFT calculation (GGA-PBE) of a geometry-optimized LuAsSe2 structure.

Computed properties:
total DFT energy (no corrections): -0.3153 Ry/atom
D(E_F): 0.24 states/eV per atom

Structure (POSCAR):
```
LuAsSe2
1.0
3.824 0.000 0.000
1.912 3.312 0.000
1.912 1.104 8.599
Se Lu As
2 1 1
Cartesian
5.736 3.312 2.756
1.912 1.104 5.843
0.000 0.000 0.000
3.824 2.208 4.300
```

---

The following is a DFT calculation (GGA-PBE) of a geometry-optimized Mo2AsRh structure.

Computed properties:
D(E_F): 0.91 states/eV per atom
formation energy: 0.046 eV per atom

Structure (POSCAR):
```
Mo2AsRh
1.0
-3.064 0.067 -1.048
-0.843 -3.450 2.244
-1.146 2.568 3.517
Mo Rh As
2 1 1
Cartesian
0.000 0.000 0.000
-1.954 -1.691 0.598
-2.105 1.318 1.234
-0.995 -0.441 2.880
```

---

The following is a DFT calculation (GGA-PBE) of a geometry-optimized SrCaSn6 structure.

Computed properties:
D(E_F): 0.55 states/eV per atom
formation energy: -0.360 eV per atom

Structure (POSCAR):
```
SrCaSn6
1.0
5.847 0.000 0.000
0.000 6.756 -0.218
0.000 -3.187 5.961
Sn Ca Sr
6 1 1
Cartesian
0.000 1.028 5.507
2.923 2.676 0.477
0.000 -0.914 2.383
2.923 5.807 0.371
0.000 2.756 2.267
2.923 4.326 3.132
0.000 -2.357 5.445
2.923 0.951 3.389
```

---

The following is a DFT calculation (GGA-PBE) of a geometry-optimized LiDyScRu structure.

Computed properties:
D(E_F): 0.81 states/eV per atom
formation energy: -0.303 eV per atom

Structure (POSCAR):
```
LiDyScRu
1.0
4.767 0.000 0.000
2.384 4.129 0.000
2.384 1.376 3.893
Dy Ru Li Sc
1 1 1 1
Cartesian
0.000 0.000 0.000
7.151 4.129 2.919
2.384 1.376 0.973
4.767 2.753 1.946
```

---

The following is a DFT calculation (GGA-PBE) of a geometry-optimized RbSbMo3 structure.

Computed properties:
total DFT energy (no corrections): -0.3233 Ry/atom
D(E_F): 0.87 states/eV per atom

Structure (POSCAR):
```
RbSbMo3
1.0
4.785 0.000 0.000
0.000 4.785 0.000
0.000 0.000 4.785
Mo Rb Sb
3 1 1
Cartesian
0.000 2.393 0.000
0.000 0.000 2.393
2.393 0.000 0.000
0.000 0.000 0.000
2.393 2.393 2.393
```

---

The following is a DFT calculation (GGA-PBE) of a geometry-optimized La3Sm8Ho4 structure.

Computed properties:
D(E_F): 1.72 states/eV per atom
formation energy: 0.340 eV per atom

Structure (POSCAR):
```
La3Sm8Ho4
1.0
-2.260 2.120 6.181
2.299 -9.005 0.127
9.200 1.056 -0.801
Sm Ho La
8 4 3
Cartesian
6.939 -4.375 4.170
2.301 -1.455 1.337
7.166 -1.909 -0.527
1.587 -0.652 4.725
7.653 -5.177 0.782
6.358 -0.381 2.520
4.333 -6.040 -0.146
2.882 -5.449 2.987
1.150 -4.503 0.064
0.000 0.000 0.000
4.600 0.528 -0.400
-1.130 1.060 3.090
0.020 -3.443 3.154
3.470 1.588 2.690
4.620 -2.915 2.754
```